Entry P
ZrTlAu3S4 | PBE | relaxed

Computed properties:
Density in g/cm³: 7.0
Space group: P-43m

Cell: 6.225 6.225 6.225 Å, 90.00 90.00 90.00°
Positions (direct):
Zr1 0.000 0.000 0.000
Tl1 0.500 0.500 0.500
Au1 0.000 0.000 0.500
Au2 0.000 0.500 0.000
Au3 0.500 0.000 0.000
S1 0.226 0.226 0.774
S2 0.226 0.774 0.226
S3 0.774 0.226 0.226
S4 0.774 0.774 0.774


Entry Q
ZrTlAu3S4 | PBE | relaxed

Computed properties:
Density in g/cm³: 7.4
Space group: P2_1/m

Cell: 5.835 7.709 10.379 Å, 90.00 102.54 90.00°
Positions (direct):
Zr1 0.110 0.250 0.292
Zr2 0.890 0.750 0.708
Tl1 0.182 0.250 0.876
Tl2 0.818 0.750 0.124
Au1 0.336 0.559 0.577
Au2 0.336 0.941 0.577
Au3 0.479 0.750 0.837
Au4 0.521 0.250 0.163
Au5 0.664 0.059 0.423
Au6 0.664 0.441 0.423
S1 0.008 0.750 0.483
S2 0.141 0.750 0.927
S3 0.331 0.511 0.253
S4 0.331 0.989 0.253
S5 0.669 0.011 0.747
S6 0.669 0.489 0.747
S7 0.859 0.250 0.073
S8 0.992 0.250 0.517


What should be chosen as the most stable of them? Choose entry P.


Entry P
TmAuS2 | PBE | relaxed

Computed properties:
Density in g/cm³: 7.9
Space group: P3m1

Cell: 4.038 4.038 6.385 Å, 90.00 90.00 120.00°
Positions (direct):
Tm1 0.000 0.000 0.000
Au1 0.333 0.667 0.592
S1 0.333 0.667 0.211
S2 0.667 0.333 0.769


Entry Q
TmAuS2 | PBE | relaxed

Computed properties:
Density in g/cm³: 7.6
Space group: Pnma

Cell: 12.916 4.058 7.140 Å, 90.00 90.00 90.00°
Positions (direct):
Tm1 0.145 0.250 0.011
Tm2 0.355 0.750 0.511
Tm3 0.645 0.250 0.489
Tm4 0.855 0.750 0.989
Au1 0.102 0.750 0.518
Au2 0.398 0.250 0.018
Au3 0.602 0.750 0.982
Au4 0.898 0.250 0.482
S1 0.048 0.750 0.828
S2 0.204 0.750 0.247
S3 0.296 0.250 0.747
S4 0.452 0.250 0.328
S5 0.548 0.750 0.672
S6 0.704 0.750 0.253
S7 0.796 0.250 0.753
S8 0.952 0.250 0.172


What should be chosen as the most stable of them? Choose entry Q.


Entry P
SbAu9 | PBE | relaxed

Computed properties:
Density in g/cm³: 14.8
Space group: P4/nmm

Cell: 2.938 2.938 49.151 Å, 90.00 90.00 90.00°
Positions (direct):
Sb1 0.250 0.250 0.093
Sb2 0.750 0.750 0.907
Au1 0.250 0.250 0.184
Au2 0.250 0.250 0.269
Au3 0.250 0.250 0.353
Au4 0.250 0.250 0.437
Au5 0.250 0.250 0.521
Au6 0.250 0.250 0.605
Au7 0.250 0.250 0.689
Au8 0.250 0.250 0.774
Au9 0.250 0.250 0.860
Au10 0.750 0.750 0.140
Au11 0.750 0.750 0.226
Au12 0.750 0.750 0.311
Au13 0.750 0.750 0.395
Au14 0.750 0.750 0.479
Au15 0.750 0.750 0.563
Au16 0.750 0.750 0.647
Au17 0.750 0.750 0.731
Au18 0.750 0.750 0.816


Entry Q
SbAu9 | PBE | relaxed

Computed properties:
Density in g/cm³: 13.3
Space group: Pmmn

Cell: 2.964 3.956 40.321 Å, 90.00 90.00 90.00°
Positions (direct):
Sb1 0.250 0.250 0.137
Sb2 0.750 0.750 0.863
Au1 0.250 0.250 0.216
Au2 0.250 0.250 0.292
Au3 0.250 0.250 0.368
Au4 0.250 0.250 0.443
Au5 0.250 0.250 0.519
Au6 0.250 0.250 0.595
Au7 0.250 0.250 0.670
Au8 0.250 0.250 0.746
Au9 0.250 0.250 0.825
Au10 0.750 0.750 0.175
Au11 0.750 0.750 0.254
Au12 0.750 0.750 0.330
Au13 0.750 0.750 0.405
Au14 0.750 0.750 0.481
Au15 0.750 0.750 0.557
Au16 0.750 0.750 0.632
Au17 0.750 0.750 0.708
Au18 0.750 0.750 0.784


What should be chosen as the most stable of them? Choose entry Q.


Entry P
Sc2SnAu2 | PBE | relaxed

Computed properties:
Density in g/cm³: 8.6
Space group: I4/mmm

Cell: 6.441 6.441 6.441 Å, 138.31 138.31 60.43°
Positions (direct):
Sc1 0.250 0.750 0.500
Sc2 0.750 0.250 0.500
Sn1 0.000 0.000 0.000
Au1 0.381 0.381 0.000
Au2 0.619 0.619 0.000


Entry Q
Sc2SnAu2 | PBE | relaxed

Computed properties:
Density in g/cm³: 9.8
Space group: P4_2/mnm

Cell: 7.599 7.599 7.082 Å, 90.00 90.00 90.00°
Positions (direct):
Sc1 0.148 0.148 0.000
Sc2 0.187 0.187 0.500
Sc3 0.313 0.687 0.000
Sc4 0.352 0.648 0.500
Sc5 0.648 0.352 0.500
Sc6 0.687 0.313 0.000
Sc7 0.813 0.813 0.500
Sc8 0.852 0.852 0.000
Sn1 0.000 0.500 0.250
Sn2 0.000 0.500 0.750
Sn3 0.500 0.000 0.250
Sn4 0.500 0.000 0.750
Au1 0.131 0.869 0.288
Au2 0.131 0.869 0.712
Au3 0.369 0.369 0.212
Au4 0.369 0.369 0.788
Au5 0.631 0.631 0.212
Au6 0.631 0.631 0.788
Au7 0.869 0.131 0.288
Au8 0.869 0.131 0.712


What should be chosen as the most stable of them? Choose entry Q.


Entry P
Sc2TcAu | PBE | relaxed

Computed properties:
Density in g/cm³: 8.9
Space group: P4/mmm

Cell: 3.322 3.322 6.511 Å, 90.00 90.00 90.00°
Positions (direct):
Sc1 0.000 0.000 0.231
Sc2 0.000 0.000 0.769
Tc1 0.500 0.500 0.000
Au1 0.500 0.500 0.500


Entry Q
Sc2TcAu | PBE | relaxed

Computed properties:
Density in g/cm³: 8.9
Space group: P4/mmm

Cell: 4.581 4.581 3.408 Å, 90.00 90.00 90.00°
Positions (direct):
Sc1 0.000 0.500 0.000
Sc2 0.500 0.000 0.000
Tc1 0.000 0.000 0.500
Au1 0.500 0.500 0.500


Entry R
Sc2TcAu | PBE | relaxed

Computed properties:
Density in g/cm³: 9.0
Space group: I4/mmm

Cell: 4.647 4.647 4.647 Å, 119.93 119.93 90.13°
Positions (direct):
Sc1 0.250 0.750 0.500
Sc2 0.750 0.250 0.500
Tc1 0.000 0.000 0.000
Au1 0.500 0.500 0.000


What should be chosen as the most stable of them? Choose entry P.


Entry P
ScTcAu | PBE | relaxed

Computed properties:
Density in g/cm³: 10.7
Space group: P4/mmm

Cell: 3.469 3.469 8.804 Å, 90.00 90.00 90.00°
Positions (direct):
Sc1 0.000 0.000 0.000
Sc2 0.500 0.500 0.500
Tc1 0.000 0.000 0.363
Tc2 0.000 0.000 0.637
Au1 0.500 0.500 0.171
Au2 0.500 0.500 0.829


Entry Q
ScTcAu | PBE | relaxed

Computed properties:
Density in g/cm³: 11.0
Space group: P4/nmm

Cell: 3.296 3.296 9.470 Å, 90.00 90.00 90.00°
Positions (direct):
Sc1 0.250 0.250 0.250
Sc2 0.750 0.750 0.750
Tc1 0.250 0.250 0.571
Tc2 0.750 0.750 0.429
Au1 0.250 0.250 0.909
Au2 0.750 0.750 0.091


What should be chosen as the most stable of them? Choose entry Q.


Entry P
Sc2Te3Au | PBE | relaxed

Computed properties:
Density in g/cm³: 7.5
Space group: Pnma

Cell: 10.549 3.926 14.268 Å, 90.00 90.00 90.00°
Positions (direct):
Sc1 0.013 0.250 0.248
Sc2 0.232 0.750 0.539
Sc3 0.268 0.250 0.039
Sc4 0.487 0.750 0.748
Sc5 0.513 0.250 0.252
Sc6 0.732 0.750 0.961
Sc7 0.768 0.250 0.461
Sc8 0.987 0.750 0.752
Te1 0.034 0.250 0.600
Te2 0.066 0.750 0.097
Te3 0.236 0.750 0.870
Te4 0.264 0.250 0.370
Te5 0.434 0.250 0.597
Te6 0.466 0.750 0.100
Te7 0.534 0.250 0.900
Te8 0.566 0.750 0.403
Te9 0.736 0.750 0.630
Te10 0.764 0.250 0.130
Te11 0.934 0.250 0.903
Te12 0.966 0.750 0.400
Au1 0.239 0.250 0.725
Au2 0.261 0.750 0.225
Au3 0.739 0.250 0.775
Au4 0.761 0.750 0.275


Entry Q
Sc2Te3Au | PBE | relaxed

Computed properties:
Density in g/cm³: 7.4
Space group: Pnma

Cell: 7.983 4.009 18.698 Å, 90.00 90.00 90.00°
Positions (direct):
Sc1 0.062 0.250 0.199
Sc2 0.207 0.750 0.504
Sc3 0.293 0.250 0.004
Sc4 0.438 0.750 0.699
Sc5 0.562 0.250 0.301
Sc6 0.707 0.750 0.996
Sc7 0.793 0.250 0.496
Sc8 0.938 0.750 0.801
Te1 0.051 0.750 0.080
Te2 0.173 0.250 0.738
Te3 0.181 0.250 0.392
Te4 0.319 0.750 0.892
Te5 0.327 0.750 0.238
Te6 0.449 0.250 0.580
Te7 0.551 0.750 0.420
Te8 0.673 0.250 0.762
Te9 0.681 0.250 0.108
Te10 0.819 0.750 0.608
Te11 0.827 0.750 0.262
Te12 0.949 0.250 0.920
Au1 0.070 0.250 0.594
Au2 0.430 0.750 0.094
Au3 0.570 0.250 0.906
Au4 0.930 0.750 0.406


What should be chosen as the most stable of them? Choose entry Q.


Entry P
TmScAu | PBE | relaxed

Computed properties:
Density in g/cm³: 9.4
Space group: F-43m

Cell: 4.688 4.688 4.688 Å, 60.00 60.00 60.00°
Positions (direct):
Tm1 0.000 0.000 0.000
Sc1 0.250 0.250 0.250
Au1 0.750 0.750 0.750


Entry Q
TmScAu | PBE | relaxed

Computed properties:
Density in g/cm³: 9.6
Space group: F-43m

Cell: 4.657 4.657 4.657 Å, 60.00 60.00 60.00°
Positions (direct):
Tm1 0.000 0.000 0.000
Sc1 0.750 0.750 0.750
Au1 0.500 0.500 0.500


What should be chosen as the most stable of them? Choose entry Q.